AcTb6Pr2 | PBE | optimized geometry

The structure belongs to space group P2_1/c (No. 14); the cell edges are 8.749, 6.012 and 12.798 Å and the angles 90.00°, 103.07° and 90.00°. The distinct sites, in fractional coordinates, are Ac at (0.000, 0.000, 0.000), Tb at (0.132, 0.235, 0.261), Tb at (0.280, 0.705, 0.374), Tb at (0.340, 0.153, 0.537) and Pr at (0.439, 0.662, 0.662).

Its calculated formation energy is 0.2536 eV per atom.



AcIn4Cu | PBE | optimized geometry

The structure belongs to space group Cmcm (No. 63); the cell edges are 4.592, 17.687 and 7.555 Å and the angles 90.00°, 90.00° and 90.00°. The distinct sites, in fractional coordinates, are Ac at (0.000, 0.115, 0.250), In at (0.000, 0.078, 0.750), In at (0.000, 0.312, 0.051), In at (0.000, 0.500, 0.000) and Cu at (0.000, 0.229, 0.750).

Its calculated formation energy is -0.2953 eV per atom.



SiIrPb | PBE | optimized geometry

The structure belongs to space group Imm2 (No. 44); the cell edges are 2.972, 3.432 and 11.724 Å and the angles 90.00°, 90.00° and 90.00°. The distinct sites, in fractional coordinates, are Si at (0.000, 0.000, 0.000), Ir at (0.000, 0.000, 0.420) and Pb at (0.000, 0.000, 0.719).

The calculation puts the uncorrected formation energy at 22 meV per atom. The relative energy among the computed polymorphs is 0.035 eV per atom.



PrSm3Al8 | PBE | optimized geometry

The structure belongs to space group R3m (No. 160, hexagonal axes); the cell edges are 5.6531, 5.6531 and 27.7772 Å and the angles 90.00°, 90.00° and 120.00°. The distinct sites, in fractional coordinates, are Pr at (0.0000, 0.0000, 0.0000), Sm at (0.0000, 0.0000, 0.3751), Sm at (0.0000, 0.0000, 0.4996), Sm at (0.0000, 0.0000, 0.8749), Al at (0.0000, 0.0000, 0.1873), Al at (0.0000, 0.0000, 0.6876), Al at (0.9997, 0.4998, 0.9368) and Al at (0.0005, 0.5003, 0.4380).

The relative energy among the computed polymorphs is 0.000 eV per atom. Its calculated formation energy is -0.5044 eV per atom.



Sm7Ho2In | PBE | optimized geometry

The structure belongs to space group Cmmm (No. 65); the cell edges are 8.771, 16.085 and 5.467 Å and the angles 90.00°, 90.00° and 90.00°. The distinct sites, in fractional coordinates, are Sm at (0.000, 0.000, 0.000), Sm at (0.000, 0.289, 0.500), Sm at (0.177, 0.393, 0.000), Ho at (0.000, 0.208, 0.000) and In at (0.000, 0.500, 0.500).

Its calculated formation energy is 0.5289 eV per atom.



LiPaAgBr6 | PBE | optimized geometry

The structure belongs to space group P-31c (No. 163); the cell edges are 7.0194, 7.0194 and 13.0490 Å and the angles 90.00°, 90.00° and 120.00°. The distinct sites, in fractional coordinates, are Li at (0.3333, 0.6667, 0.2500), Pa at (0.3333, 0.6667, 0.7500), Ag at (0.0000, 0.0000, 0.0000) and Br at (0.0034, 0.3459, 0.1278).

The calculation puts the uncorrected formation energy at -1210 meV per atom.



AcCeTl2 | PBE | optimized geometry

The structure belongs to space group R-3m (No. 166, hexagonal axes); the cell edges are 3.9540, 3.9540 and 30.8329 Å and the angles 90.00°, 90.00° and 120.00°. The distinct sites, in fractional coordinates, are Ac at (0.0000, 0.0000, 0.0000), Ce at (0.0000, 0.0000, 0.5000) and Tl at (0.0000, 0.0000, 0.2460).

Its calculated formation energy is -0.1305 eV per atom.



RbMgPPt2 | PBE | optimized geometry

The structure belongs to space group P4/mmm (No. 123); the cell edges are 4.969, 4.969 and 4.900 Å and the angles 90.00°, 90.00° and 90.00°. The distinct sites, in fractional coordinates, are Rb at (0.000, 0.000, 0.000), Mg at (0.500, 0.500, 0.500), P at (0.500, 0.500, 0.000) and Pt at (0.000, 0.500, 0.500).

Its calculated formation energy is 0.5526 eV per atom.



GdScGaAg | PBE | optimized geometry

The structure belongs to space group F-43m (No. 216); the cell edges are 7.073, 7.073 and 7.073 Å and the angles 90.00°, 90.00° and 90.00°. The distinct sites, in fractional coordinates, are Gd at (0.000, 0.000, 0.000), Sc at (0.000, 0.000, 0.500), Ga at (0.250, 0.250, 0.750) and Ag at (0.250, 0.250, 0.250).

Its calculated formation energy is -0.4333 eV per atom.



LiSmSi2Pt2 | PBE | optimized geometry

The structure belongs to space group P-3m1 (No. 164); the cell edges are 4.2180, 4.2180 and 6.7568 Å and the angles 90.00°, 90.00° and 120.00°. The distinct sites, in fractional coordinates, are Li at (0.0000, 0.0000, 0.0000), Sm at (0.0000, 0.0000, 0.5000), Si at (0.3333, 0.6667, 0.8112) and Pt at (0.3333, 0.6667, 0.1952).

The calculation puts the uncorrected formation energy at -974 meV per atom.



ZnGa3Ag | PBE | optimized geometry

The structure belongs to space group Pm-3m (No. 221); the cell edges are 4.837, 4.837 and 4.837 Å and the angles 90.00°, 90.00° and 90.00°. The distinct sites, in fractional coordinates, are Zn at (0.000, 0.000, 0.000), Ga at (0.000, 0.000, 0.500) and Ag at (0.500, 0.500, 0.500).

The relative energy among the computed polymorphs is 0.342 eV per atom. Its calculated formation energy is 0.3757 eV per atom.



CaMg2Te | PBE | optimized geometry

The structure belongs to space group R-3m (No. 166, hexagonal axes); the cell edges are 4.1298, 4.1298 and 26.6086 Å and the angles 90.00°, 90.00° and 120.00°. The distinct sites, in fractional coordinates, are Ca at (0.0000, 0.0000, 0.0000), Mg at (0.0000, 0.0000, 0.2318) and Te at (0.0000, 0.0000, 0.5000).

The calculation puts the uncorrected formation energy at -299 meV per atom.



KSbIr2 | PBE | optimized geometry

The structure belongs to space group C2/m (No. 12); the cell edges are 7.935, 4.580 and 6.621 Å and the angles 90.00°, 113.78° and 90.00°. The distinct sites, in fractional coordinates, are K at (0.000, 0.000, 0.000), Sb at (0.000, 0.500, 0.500) and Ir at (0.182, 0.000, 0.544).

The calculation puts the uncorrected formation energy at 221 meV per atom.



Li8AgAs2 | PBE | optimized geometry

The structure belongs to space group Immm (No. 71); the cell edges are 4.386, 6.355 and 12.769 Å and the angles 90.00°, 90.00° and 90.00°. The distinct sites, in fractional coordinates, are Li at (0.000, 0.000, 0.165), Li at (0.000, 0.222, 0.338), Li at (0.000, 0.291, 0.000), Ag at (0.000, 0.500, 0.500) and As at (0.000, 0.500, 0.181).

Its calculated formation energy is -0.5008 eV per atom.



Ta2As2S7 | PBE | optimized geometry

The structure belongs to space group C2/m (No. 12); the cell edges are 7.287, 10.192 and 7.810 Å and the angles 90.00°, 93.10° and 90.00°. The distinct sites, in fractional coordinates, are Ta at (0.000, 0.142, 0.000), As at (0.246, 0.000, 0.653), S at (0.000, 0.500, 0.500), S at (0.107, 0.000, 0.224) and S at (0.227, 0.316, 0.164).

The calculation puts the uncorrected formation energy at -400 meV per atom.



NbSiBiCl2 | PBE | optimized geometry

The structure belongs to space group P4/mmm (No. 123); the cell edges are 5.190, 5.190 and 6.019 Å and the angles 90.00°, 90.00° and 90.00°. The distinct sites, in fractional coordinates, are Nb at (0.000, 0.000, 0.000), Si at (0.500, 0.500, 0.000), Bi at (0.000, 0.000, 0.500) and Cl at (0.000, 0.500, 0.500).

The calculation puts the uncorrected formation energy at 977 meV per atom.



Tb5Sm4Tl2 | PBE | optimized geometry

The structure belongs to space group R-3m (No. 166, hexagonal axes); the cell edges are 5.2581, 5.2581 and 47.5998 Å and the angles 90.00°, 90.00° and 120.00°. The distinct sites, in fractional coordinates, are Tb at (0.0000, 0.0000, 0.0000), Tb at (0.0000, 0.0000, 0.1484), Tb at (0.0000, 0.0000, 0.3017), Sm at (0.0000, 0.0000, 0.0736), Sm at (0.0000, 0.0000, 0.2248) and Tl at (0.0000, 0.0000, 0.3783).

Its calculated formation energy is 0.2382 eV per atom.



CaPm4Nd3Te8 | PBE | optimized geometry

The structure belongs to space group R-3m (No. 166, hexagonal axes); the cell edges are 8.9713, 8.9713 and 21.9397 Å and the angles 90.00°, 90.00° and 120.00°. The distinct sites, in fractional coordinates, are Ca at (0.0000, 0.0000, 0.0000), Pm at (0.0000, 0.0000, 0.5000), Pm at (0.0000, 0.5000, 0.5000), Nd at (0.0000, 0.5000, 0.0000), Te at (0.0000, 0.0000, 0.2492) and Te at (0.0036, 0.5018, 0.7500).

The calculation puts the uncorrected formation energy at -1433 meV per atom.



LiHo2Se3 | PBE | optimized geometry

The structure belongs to space group I4/mmm (No. 139); the cell edges are 4.035, 4.035 and 17.119 Å and the angles 90.00°, 90.00° and 90.00°. The distinct sites, in fractional coordinates, are Li at (0.000, 0.000, 0.000), Ho at (0.000, 0.000, 0.339), Se at (0.000, 0.000, 0.167) and Se at (0.000, 0.000, 0.500).

The calculation puts the uncorrected formation energy at -1686 meV per atom. The relative energy among the computed polymorphs is 0.031 eV per atom.



V2Co9Tc | PBE | optimized geometry

The structure belongs to space group R-3m (No. 166, hexagonal axes); the cell edges are 4.6341, 4.6341 and 23.0655 Å and the angles 90.00°, 90.00° and 120.00°. The distinct sites, in fractional coordinates, are V at (0.0000, 0.0000, 0.1374), Co at (0.0000, 0.0000, 0.3350), Co at (0.0000, 0.0000, 0.5000), Co at (0.0062, 0.5031, 0.9143) and Tc at (0.0000, 0.0000, 0.0000).

Its calculated formation energy is 0.1465 eV per atom.



HfIn2Ge | PBE | optimized geometry

The structure belongs to space group R-3m (No. 166, hexagonal axes); the cell edges are 3.1670, 3.1670 and 33.7968 Å and the angles 90.00°, 90.00° and 120.00°. The distinct sites, in fractional coordinates, are Hf at (0.0000, 0.0000, 0.0000), In at (0.0000, 0.0000, 0.0889) and Ge at (0.0000, 0.0000, 0.5000).

Its calculated formation energy is 0.3800 eV per atom.



CdInTc | PBE | optimized geometry

The structure belongs to space group P3m1 (No. 156); the cell edges are 4.7201, 4.7201 and 2.8901 Å and the angles 90.00°, 90.00° and 120.00°. The distinct sites, in fractional coordinates, are Cd at (0.0000, 0.0000, 0.0000), In at (0.6667, 0.3333, 0.2150) and Tc at (0.3333, 0.6667, 0.5783).

The relative energy among the computed polymorphs is 0.008 eV per atom. Its calculated formation energy is 0.4434 eV per atom.



PuUCu4 | PBE | optimized geometry

The structure belongs to space group F-43m (No. 216); the cell edges are 7.331, 7.331 and 7.331 Å and the angles 90.00°, 90.00° and 90.00°. The distinct sites, in fractional coordinates, are Pu at (0.000, 0.000, 0.000), U at (0.250, 0.250, 0.250) and Cu at (0.125, 0.125, 0.625).

Its calculated formation energy is 0.0859 eV per atom.



La3Dy2Ho6Th | PBE | optimized geometry

The structure belongs to space group C2/m (No. 12); the cell edges are 6.218, 10.768 and 11.834 Å and the angles 90.00°, 100.10° and 90.00°. The distinct sites, in fractional coordinates, are La at (0.000, 0.000, 0.000), La at (0.000, 0.333, 0.000), Dy at (0.000, 0.167, 0.500), Ho at (0.247, 0.335, 0.744), Ho at (0.249, 0.500, 0.255) and Th at (0.000, 0.500, 0.500).

Its calculated formation energy is 0.0216 eV per atom.